No. 1
Below is a relaxed structure of ErAsPd, with properties calculated at the PBE level.

POSCAR file:
```
ErAsPd
1.0
-4.9384 -4.5693 -1.8449
1.9805 -0.7138 -3.5334
4.0951 -5.8281 3.4728
As Er Pd
4 4 4
Direct
0.2514 0.2500 0.1219
0.7514 0.2500 0.3781
0.2486 0.7500 0.6219
0.7486 0.7500 0.8781
0.5313 0.7500 0.1895
0.0313 0.7500 0.3105
0.9687 0.2500 0.6895
0.4687 0.2500 0.8105
0.8569 0.2500 0.0619
0.3569 0.2500 0.4381
0.6431 0.7500 0.5619
0.1431 0.7500 0.9381
```

Calculated values
Electronic total energy: -5.9888 eV per atom



No. 2
Below is a relaxed structure of ErAsPd, with properties calculated at the PBE level.

POSCAR file:
```
ErAsPd
1.0
6.2384 0.0000 0.0000
0.0000 3.8995 0.0000
0.0000 0.0000 10.0394
As Er Pd
4 4 4
Direct
0.6717 0.2500 0.1582
0.1717 0.2500 0.3418
0.8283 0.7500 0.6582
0.3283 0.7500 0.8418
0.3277 0.7500 0.1368
0.8277 0.7500 0.3632
0.1723 0.2500 0.6368
0.6723 0.2500 0.8632
0.8759 0.7500 0.0555
0.3759 0.7500 0.4445
0.6241 0.2500 0.5555
0.1241 0.2500 0.9445
```

Calculated values
Electronic total energy: -5.7922 eV per atom



No. 3
Below is a relaxed structure of PrErAs, with properties calculated at the PBE level.

POSCAR file:
```
PrErAs
1.0
-1.6927 -0.4991 4.5810
-3.8921 2.6026 1.4759
-4.2928 -2.2432 0.7998
As Er Pr
1 1 1
Direct
0.0000 0.0000 0.0000
0.2500 0.2500 0.2500
0.7500 0.7500 0.7500
```

Calculated values
Electronic total energy: -5.4114 eV per atom